## CsInSn (PBE)

Data for CsInSn after structural relaxation.

```
data_CsInSn
_chemical_formula_sum 'Cs2 In2 Sn2'
_cell_length_a 4.896
_cell_length_b 5.188
_cell_length_c 9.504
_cell_angle_alpha 90.00
_cell_angle_beta 90.00
_cell_angle_gamma 90.00
_symmetry_space_group_name_H-M 'P m m 2'
_symmetry_Int_Tables_number 25
_symmetry_space_group_name_Hall 'P 2 -2'
loop_
_atom_site_label
_atom_site_fract_x
_atom_site_fract_y
_atom_site_fract_z
Cs1 0.000 0.000 0.000
Cs2 0.500 0.500 0.319
In1 0.000 0.000 0.459
In2 0.500 0.000 0.664
Sn1 0.000 0.500 0.655
Sn2 0.500 0.500 0.849
```



# CsIn4Sn (PBE, optimized geometry)
data_CsIn4Sn
_chemical_formula_sum 'Cs4 In16 Sn4'
_cell_length_a 9.200
_cell_length_b 9.200
_cell_length_c 9.200
_cell_angle_alpha 90.00
_cell_angle_beta 90.00
_cell_angle_gamma 90.00
_symmetry_space_group_name_H-M 'F -4 3 m'
_symmetry_Int_Tables_number 216
_symmetry_space_group_name_Hall 'F -4 2 3'
loop_
_atom_site_label
_atom_site_fract_x
_atom_site_fract_y
_atom_site_fract_z
Cs1 0.000 0.000 0.000
In1 0.124 0.124 0.376
Sn1 0.250 0.250 0.750
# Distance to the lowest polymorph of the same formula   0.151 eV/atom



# Cs2InSn (PBE, optimized geometry)
data_Cs2InSn
_chemical_formula_sum 'Cs8 In4 Sn4'
_cell_length_a 12.214
_cell_length_b 9.203
_cell_length_c 6.627
_cell_angle_alpha 90.00
_cell_angle_beta 90.00
_cell_angle_gamma 90.00
_symmetry_space_group_name_H-M 'C m c m'
_symmetry_Int_Tables_number 63
_symmetry_space_group_name_Hall '-C 2c 2'
loop_
_atom_site_label
_atom_site_fract_x
_atom_site_fract_y
_atom_site_fract_z
Cs1 0.170 0.147 0.250
In1 0.000 0.500 0.000
Sn1 0.000 0.242 0.750
# Distance to the lowest polymorph of the same formula   0.015 eV/atom



## Cs4InSn4 (PBE)

Data for Cs4InSn4 after structural relaxation.

```
data_Cs4InSn4
_chemical_formula_sum 'Cs8 In2 Sn8'
_cell_length_a 7.736
_cell_length_b 7.736
_cell_length_c 17.246
_cell_angle_alpha 90.00
_cell_angle_beta 90.00
_cell_angle_gamma 90.00
_symmetry_space_group_name_H-M 'I -4 2 m'
_symmetry_Int_Tables_number 121
_symmetry_space_group_name_Hall 'I -4 2'
loop_
_atom_site_label
_atom_site_fract_x
_atom_site_fract_y
_atom_site_fract_z
Cs1 0.177 0.177 0.369
In1 0.000 0.000 0.000
Sn1 0.133 0.133 0.147
```



Number 1: size of the total moment 0.00 μB per cell, Fermi-level density of states 1.39 states/eV/cell, calculated formation energy -19.1 kJ/mol of atoms. Number 2: size of the total moment 0.00 μB per cell, Fermi-level density of states 11.80 states/eV/cell, calculated formation energy 6.3 kJ/mol of atoms. Number 3: size of the total moment 0.00 μB per cell, Fermi-level density of states 11.69 states/eV/cell, calculated formation energy -14.6 kJ/mol of atoms. Number 4: size of the total moment 2.27 μB per cell, Fermi-level density of states 22.00 states/eV/cell, calculated formation energy 2.9 kJ/mol of atoms.